PrDyZn6 (PBE, optimized geometry); E = -19.2 eV per cell; density = 7.67 g/cm3; calculated volume = 150.64 Å³ per cell; size of the total moment = 0.01 μB per cell
1.0
4.735 0.000 0.000
0.000 4.735 0.000
0.000 0.000 6.720
Pr Dy Zn
1 1 6
direct
0.000 0.000 0.000
0.500 0.500 0.500
0.000 0.000 0.500
0.000 0.500 0.260
0.000 0.500 0.740
0.500 0.000 0.260
0.500 0.000 0.740
0.500 0.500 0.000